# CdNiPt2 (GGA-PBE, relaxed)
# calculated formation energy	0.183	eV per atom
# E	-4.5117	eV per atom
data_CdNiPt2
_chemical_formula_sum 'Cd2 Ni2 Pt4'
_cell_length_a 3.8547
_cell_length_b 3.8547
_cell_length_c 9.6042
_cell_angle_alpha 78.42
_cell_angle_beta 78.42
_cell_angle_gamma 90.00
_space_group_name_H-M_alt 'P 1'
_space_group_IT_number 1
loop_
_space_group_symop_operation_xyz
'x,y,z'
loop_
_atom_site_label
_atom_site_type_symbol
_atom_site_fract_x
_atom_site_fract_y
_atom_site_fract_z
Pt1 Pt 0.8750 0.8564 0.7500
Ni1 Ni 0.2500 0.7500 0.5000
Cd1 Cd 0.7500 0.2500 0.5000
Cd2 Cd 0.0000 0.0000 0.0000
Pt2 Pt 0.1436 0.6250 0.2500
Pt3 Pt 0.6064 0.1250 0.2500
Pt4 Pt 0.3750 0.3936 0.7500
Ni2 Ni 0.5000 0.5000 0.0000

---

# Cd2NiPt (GGA-PBE, relaxed)
# calculated formation energy	0.003	eV per atom
# E	-3.4104	eV per atom
data_Cd2NiPt
_chemical_formula_sum 'Cd2 Ni1 Pt1'
_cell_length_a 9.0785
_cell_length_b 9.0785
_cell_length_c 9.0785
_cell_angle_alpha 18.67
_cell_angle_beta 18.67
_cell_angle_gamma 18.67
_space_group_name_H-M_alt 'P 1'
_space_group_IT_number 1
loop_
_space_group_symop_operation_xyz
'x,y,z'
loop_
_atom_site_label
_atom_site_type_symbol
_atom_site_fract_x
_atom_site_fract_y
_atom_site_fract_z
Pt1 Pt 0.7500 0.7500 0.7500
Ni1 Ni 0.2500 0.2500 0.2500
Cd1 Cd 0.5044 0.5044 0.5044
Cd2 Cd 0.9956 0.9956 0.9956

---

# Cd2NiPt (GGA-PBE, relaxed)
# calculated formation energy	-0.131	eV per atom
# E	-3.5445	eV per atom
data_Cd2NiPt
_chemical_formula_sum 'Cd2 Ni1 Pt1'
_cell_length_a 4.1611
_cell_length_b 4.1611
_cell_length_c 3.8350
_cell_angle_alpha 90.00
_cell_angle_beta 90.00
_cell_angle_gamma 90.00
_space_group_name_H-M_alt 'P 1'
_space_group_IT_number 1
loop_
_space_group_symop_operation_xyz
'x,y,z'
loop_
_atom_site_label
_atom_site_type_symbol
_atom_site_fract_x
_atom_site_fract_y
_atom_site_fract_z
Cd1 Cd 0.0000 0.0000 0.0000
Pt1 Pt 0.0000 0.5000 0.5000
Cd2 Cd 0.5000 0.5000 0.0000
Ni1 Ni 0.5000 0.0000 0.5000

---

Q: What is the E in the second record?
A: -3.4104 eV per atom